1.
{
  "formula": "Ba3PrRu2O9",
  "functional": "GGA-PBEsol",
  "state": "optimized geometry",
  "density_g_cm3": 6.7,
  "magmom_total_mub_per_cell": 6.07,
  "e_tot_ev_per_cell": -224.51,
  "sg": "No. 194",
  "cell": [[5.916, 0.000, 0.000], [-2.958, 5.124, 0.000], [0.000, 0.000, 14.792]],
  "species": ["Ba", "Ba", "Ba", "Ba", "Ba", "Ba", "Pr", "Pr", "Ru", "Ru", "Ru", "Ru", "O", "O", "O", "O", "O", "O", "O", "O", "O", "O", "O", "O", "O", "O", "O", "O", "O", "O"],
  "fractional_positions": [[0.000, 0.000, 0.250], [0.000, 0.000, 0.750], [0.333, 0.667, 0.105], [0.333, 0.667, 0.395], [0.667, 0.333, 0.605], [0.667, 0.333, 0.895], [0.000, 0.000, 0.000], [0.000, 0.000, 0.500], [0.333, 0.667, 0.668], [0.333, 0.667, 0.832], [0.667, 0.333, 0.168], [0.667, 0.333, 0.332], [0.016, 0.508, 0.750], [0.179, 0.358, 0.594], [0.179, 0.358, 0.906], [0.179, 0.821, 0.594], [0.179, 0.821, 0.906], [0.358, 0.179, 0.094], [0.358, 0.179, 0.406], [0.492, 0.508, 0.750], [0.492, 0.984, 0.750], [0.508, 0.016, 0.250], [0.508, 0.492, 0.250], [0.642, 0.821, 0.594], [0.642, 0.821, 0.906], [0.821, 0.179, 0.094], [0.821, 0.179, 0.406], [0.821, 0.642, 0.094], [0.821, 0.642, 0.406], [0.984, 0.492, 0.250]]
}



2.
{
  "formula": "CeSi2Ir",
  "functional": "GGA-PBEsol",
  "state": "optimized geometry",
  "density_g_cm3": 9.0,
  "magmom_total_mub_per_cell": 0.00,
  "e_tot_ev_per_cell": -63.52,
  "sg": "No. 63",
  "cell": [[2.072, -8.362, 0.000], [2.072, 8.362, 0.000], [0.000, 0.000, 4.149]],
  "species": ["Ce", "Ce", "Si", "Si", "Si", "Si", "Ir", "Ir"],
  "fractional_positions": [[0.106, 0.894, 0.750], [0.894, 0.106, 0.250], [0.250, 0.750, 0.250], [0.464, 0.536, 0.750], [0.536, 0.464, 0.250], [0.750, 0.250, 0.750], [0.324, 0.676, 0.750], [0.676, 0.324, 0.250]]
}



3.
{
  "formula": "Li2ScP2O8",
  "functional": "GGA-PBEsol",
  "state": "optimized geometry",
  "density_g_cm3": 2.7,
  "magmom_total_mub_per_cell": 2.09,
  "e_tot_ev_per_cell": -191.89,
  "sg": "No. 14",
  "cell": [[4.968, 0.000, 0.000], [0.000, 8.319, 0.000], [-3.657, 0.000, 7.385]],
  "species": ["Li", "Li", "Li", "Li", "Sc", "Sc", "P", "P", "P", "P", "O", "O", "O", "O", "O", "O", "O", "O", "O", "O", "O", "O", "O", "O", "O", "O"],
  "fractional_positions": [[0.065, 0.132, 0.169], [0.065, 0.368, 0.669], [0.935, 0.632, 0.331], [0.935, 0.868, 0.831], [0.000, 0.000, 0.500], [0.000, 0.500, 0.000], [0.337, 0.656, 0.735], [0.337, 0.844, 0.235], [0.663, 0.156, 0.765], [0.663, 0.344, 0.265], [0.181, 0.679, 0.192], [0.181, 0.821, 0.692], [0.230, 0.557, 0.854], [0.230, 0.943, 0.354], [0.254, 0.557, 0.559], [0.254, 0.943, 0.059], [0.318, 0.175, 0.669], [0.318, 0.325, 0.169], [0.682, 0.675, 0.831], [0.682, 0.825, 0.331], [0.746, 0.057, 0.941], [0.746, 0.443, 0.441], [0.770, 0.057, 0.646], [0.770, 0.443, 0.146], [0.819, 0.179, 0.308], [0.819, 0.321, 0.808]]
}



4.
{
  "formula": "KIr2Rh",
  "functional": "GGA-PBEsol",
  "state": "optimized geometry",
  "ef_ev_per_atom": 1.000,
  "density_g_cm3": 13.6,
  "magmom_total_mub_per_cell": 0.73,
  "e_tot_ev_per_cell": -24.92,
  "sg": "No. 47",
  "de_polymorph_mev_per_atom": 313,
  "cell": [[2.683, 0.000, 0.000], [0.000, 4.761, 0.000], [0.000, 0.000, 5.044]],
  "species": ["K", "Ir", "Ir", "Rh"],
  "fractional_positions": [[0.000, 0.000, 0.000], [0.000, 0.500, 0.500], [0.500, 0.000, 0.500], [0.500, 0.500, 0.000]]
}



5.
{
  "formula": "InHg3",
  "functional": "GGA-PBEsol",
  "state": "optimized geometry",
  "ef_ev_per_atom": 0.000,
  "density_g_cm3": 12.4,
  "magmom_total_mub_per_cell": 0.00,
  "e_tot_ev_per_cell": -4.68,
  "sg": "No. 65",
  "cell": [[1.709, -2.732, 0.000], [1.709, 2.732, 0.000], [0.000, 0.000, 10.267]],
  "species": ["In", "Hg", "Hg", "Hg"],
  "fractional_positions": [[0.000, 0.000, 0.000], [0.000, 0.000, 0.500], [0.500, 0.500, 0.254], [0.500, 0.500, 0.746]]
}



6.
{
  "formula": "Be3HIr",
  "functional": "GGA-PBEsol",
  "state": "optimized geometry",
  "density_g_cm3": 9.1,
  "magmom_total_mub_per_cell": 0.00,
  "e_tot_ev_per_cell": -26.09,
  "sg": "No. 221",
  "cell": [[3.421, 0.000, 0.000], [0.000, 3.421, 0.000], [0.000, 0.000, 3.421]],
  "species": ["Be", "Be", "Be", "H", "Ir"],
  "fractional_positions": [[0.000, 0.000, 0.500], [0.000, 0.500, 0.000], [0.500, 0.000, 0.000], [0.000, 0.000, 0.000], [0.500, 0.500, 0.500]]
}



7.
{
  "formula": "Hg3PdCl",
  "functional": "GGA-PBEsol",
  "state": "optimized geometry",
  "density_g_cm3": 8.6,
  "magmom_total_mub_per_cell": 0.00,
  "e_tot_ev_per_cell": -5.30,
  "sg": "No. 221",
  "cell": [[5.243, 0.000, 0.000], [0.000, 5.243, 0.000], [0.000, 0.000, 5.243]],
  "species": ["Hg", "Hg", "Hg", "Pd", "Cl"],
  "fractional_positions": [[0.000, 0.000, 0.500], [0.000, 0.500, 0.000], [0.500, 0.000, 0.000], [0.500, 0.500, 0.500], [0.000, 0.000, 0.000]]
}



8.
{
  "formula": "As2S3",
  "functional": "GGA-PBEsol",
  "state": "optimized geometry",
  "density_g_cm3": 3.4,
  "magmom_total_mub_per_cell": 0.00,
  "e_tot_ev_per_cell": -95.69,
  "sg": "No. 2",
  "cell": [[5.819, 0.000, 0.000], [0.052, 8.484, 0.000], [1.746, 1.767, 9.665]],
  "species": ["As", "As", "As", "As", "As", "As", "As", "As", "S", "S", "S", "S", "S", "S", "S", "S", "S", "S", "S", "S"],
  "fractional_positions": [[0.053, 0.135, 0.339], [0.155, 0.816, 0.163], [0.404, 0.366, 0.671], [0.410, 0.690, 0.833], [0.590, 0.310, 0.167], [0.596, 0.634, 0.329], [0.845, 0.184, 0.837], [0.947, 0.865, 0.661], [0.062, 0.080, 0.122], [0.065, 0.273, 0.623], [0.230, 0.383, 0.259], [0.284, 0.428, 0.887], [0.314, 0.767, 0.619], [0.471, 0.883, 0.248], [0.529, 0.117, 0.752], [0.686, 0.233, 0.381], [0.716, 0.572, 0.113], [0.770, 0.617, 0.741], [0.935, 0.727, 0.377], [0.938, 0.920, 0.878]]
}



9.
{
  "formula": "Ba2MoP",
  "functional": "GGA-PBEsol",
  "state": "optimized geometry",
  "ef_ev_per_atom": 0.046,
  "density_g_cm3": 6.0,
  "magmom_total_mub_per_cell": 0.71,
  "e_tot_ev_per_cell": -21.67,
  "sg": "No. 8",
  "cell": [[5.834, -1.847, 0.000], [5.834, 1.847, 0.000], [-2.126, 0.000, 5.199]],
  "species": ["Ba", "Ba", "Mo", "P"],
  "fractional_positions": [[0.000, 0.000, 0.000], [0.186, 0.186, 0.649], [0.808, 0.808, 0.272], [0.430, 0.430, 0.464]]
}



10.
{
  "formula": "Ca3BI3N2",
  "functional": "GGA-PBEsol",
  "state": "optimized geometry",
  "density_g_cm3": 3.7,
  "magmom_total_mub_per_cell": 0.00,
  "e_tot_ev_per_cell": -195.54,
  "sg": "No. 155",
  "cell": [[8.270, 4.775, 4.117], [-8.270, 4.775, 4.117], [0.000, -9.549, 4.117]],
  "species": ["Ca", "Ca", "Ca", "Ca", "Ca", "Ca", "Ca", "Ca", "Ca", "Ca", "Ca", "Ca", "B", "B", "B", "B", "I", "I", "I", "I", "I", "I", "I", "I", "I", "I", "I", "I", "N", "N", "N", "N", "N", "N", "N", "N"],
  "fractional_positions": [[0.000, 0.514, 0.486], [0.000, 0.723, 0.277], [0.234, 0.475, 0.259], [0.259, 0.234, 0.475], [0.277, 0.000, 0.723], [0.475, 0.259, 0.234], [0.486, 0.000, 0.514], [0.514, 0.486, 0.000], [0.525, 0.766, 0.741], [0.723, 0.277, 0.000], [0.741, 0.525, 0.766], [0.766, 0.741, 0.525], [0.264, 0.736, 0.500], [0.500, 0.264, 0.736], [0.500, 0.500, 0.500], [0.736, 0.500, 0.264], [0.001, 0.999, 0.500], [0.030, 0.754, 0.767], [0.233, 0.246, 0.970], [0.246, 0.970, 0.233], [0.273, 0.500, 0.727], [0.500, 0.001, 0.999], [0.500, 0.727, 0.273], [0.727, 0.273, 0.500], [0.754, 0.767, 0.030], [0.767, 0.030, 0.754], [0.970, 0.233, 0.246], [0.999, 0.500, 0.001], [0.154, 0.628, 0.393], [0.372, 0.846, 0.607], [0.391, 0.391, 0.391], [0.393, 0.154, 0.628], [0.607, 0.372, 0.846], [0.609, 0.609, 0.609], [0.628, 0.393, 0.154], [0.846, 0.607, 0.372]]
}



11.
{
  "formula": "NbZnCdW2",
  "functional": "GGA-PBEsol",
  "state": "optimized geometry",
  "ef_ev_per_atom": 2.180,
  "density_g_cm3": 9.1,
  "magmom_total_mub_per_cell": 0.25,
  "e_tot_ev_per_cell": -30.32,
  "sg": "No. 123",
  "cell": [[4.717, 0.000, 0.000], [0.000, 4.717, 0.000], [0.000, 0.000, 5.215]],
  "species": ["Nb", "Zn", "Cd", "W", "W"],
  "fractional_positions": [[0.000, 0.000, 0.000], [0.500, 0.500, 0.500], [0.000, 0.000, 0.500], [0.000, 0.500, 0.000], [0.500, 0.000, 0.000]]
}



12.
{
  "formula": "Na2U2O7",
  "functional": "GGA-PBEsol",
  "state": "optimized geometry",
  "density_g_cm3": 6.6,
  "magmom_total_mub_per_cell": 0.00,
  "e_tot_ev_per_cell": -189.31,
  "sg": "No. 12",
  "cell": [[6.478, -3.868, 0.000], [6.478, 3.868, 0.000], [-2.461, 0.000, 6.385]],
  "species": ["Na", "Na", "Na", "Na", "U", "U", "U", "U", "O", "O", "O", "O", "O", "O", "O", "O", "O", "O", "O", "O", "O", "O"],
  "fractional_positions": [[0.000, 0.000, 0.000], [0.245, 0.755, 0.500], [0.500, 0.500, 0.000], [0.755, 0.245, 0.500], [0.000, 0.500, 0.000], [0.258, 0.258, 0.543], [0.500, 0.000, 0.000], [0.742, 0.742, 0.457], [0.050, 0.460, 0.318], [0.105, 0.105, 0.449], [0.117, 0.691, 0.109], [0.285, 0.285, 0.895], [0.309, 0.883, 0.891], [0.413, 0.413, 0.630], [0.460, 0.050, 0.318], [0.540, 0.950, 0.682], [0.587, 0.587, 0.370], [0.691, 0.117, 0.109], [0.715, 0.715, 0.105], [0.883, 0.309, 0.891], [0.895, 0.895, 0.551], [0.950, 0.540, 0.682]]
}